No. 1
RbTmScCl6 after structural relaxation. Source: Alexandria, functional PBE.

## Properties
As for the final energy: -4.615 eV/atom. As for the crystal system: trigonal.

Cell lengths 6.755, 6.755, 14.979 Å; angles 90.00, 90.00, 120.00 degrees
Fractional coordinates of all 18 atoms:
Rb 0.000 0.000 0.000
Rb 0.000 0.000 0.500
Tm 0.333 0.667 0.250
Tm 0.667 0.333 0.750
Sc 0.333 0.667 0.750
Sc 0.667 0.333 0.250
Cl 0.002 0.370 0.649
Cl 0.002 0.632 0.851
Cl 0.368 0.370 0.851
Cl 0.368 0.998 0.649
Cl 0.370 0.002 0.149
Cl 0.370 0.368 0.351
Cl 0.630 0.632 0.649
Cl 0.630 0.998 0.851
Cl 0.632 0.002 0.351
Cl 0.632 0.630 0.149
Cl 0.998 0.368 0.149
Cl 0.998 0.630 0.351


No. 2
RbScZnCl6 after structural relaxation. Source: Alexandria, functional PBE.

## Properties
As for the final energy: -3.945 eV/atom. As for the crystal system: trigonal.

Cell lengths 6.542, 6.542, 14.728 Å; angles 90.00, 90.00, 120.00 degrees
Fractional coordinates of all 18 atoms:
Rb 0.000 0.000 0.000
Rb 0.000 0.000 0.500
Sc 0.333 0.667 0.250
Sc 0.667 0.333 0.750
Zn 0.333 0.667 0.750
Zn 0.667 0.333 0.250
Cl 0.002 0.378 0.653
Cl 0.002 0.623 0.847
Cl 0.377 0.378 0.847
Cl 0.377 0.998 0.653
Cl 0.378 0.002 0.153
Cl 0.378 0.377 0.347
Cl 0.622 0.623 0.653
Cl 0.622 0.998 0.847
Cl 0.623 0.002 0.347
Cl 0.623 0.622 0.153
Cl 0.998 0.377 0.153
Cl 0.998 0.622 0.347


No. 3
Rb2SeCl after structural relaxation. Source: Alexandria, functional PBE.

## Properties
As for the crystal system: tetragonal. As for the polymorph energy (0 for the lowest one): 0.000 eV per atom.

Cell lengths 3.875, 3.875, 8.789 Å; angles 90.00, 90.00, 90.00 degrees
Fractional coordinates of all 4 atoms:
Rb 0.000 0.000 0.229
Rb 0.000 0.000 0.771
Se 0.500 0.500 0.500
Cl 0.500 0.500 0.000


No. 4
RbSeCl after structural relaxation. Source: Alexandria, functional PBE.

## Properties
As for the crystal system: triclinic. As for the polymorph energy (0 for the lowest one): 0.000 eV per atom.

Cell lengths 5.974, 6.187, 6.666 Å; angles 87.66, 87.59, 65.92 degrees
Fractional coordinates of all 6 atoms:
Rb 0.160 0.180 0.262
Rb 0.840 0.820 0.738
Se 0.471 0.434 0.656
Se 0.529 0.566 0.344
Cl 0.191 0.188 0.764
Cl 0.809 0.812 0.236


No. 5
Rb12Se3Cl5 after structural relaxation. Source: Alexandria, functional PBE.

## Properties
As for the final energy: -2.925 eV/atom. As for the crystal system: cubic.

Cell lengths 17.033, 17.033, 17.033 Å; angles 109.47, 109.47, 109.47 degrees
Fractional coordinates of all 80 atoms:
Rb 0.051 0.224 0.137
Rb 0.051 0.327 0.913
Rb 0.086 0.724 0.673
Rb 0.086 0.863 0.413
Rb 0.087 0.637 0.414
Rb 0.087 0.949 0.673
Rb 0.137 0.051 0.224
Rb 0.137 0.587 0.914
Rb 0.173 0.224 0.586
Rb 0.173 0.449 0.587
Rb 0.224 0.137 0.051
Rb 0.224 0.586 0.173
Rb 0.276 0.327 0.914
Rb 0.276 0.449 0.363
Rb 0.327 0.913 0.051
Rb 0.327 0.914 0.276
Rb 0.363 0.276 0.449
Rb 0.363 0.586 0.913
Rb 0.413 0.086 0.863
Rb 0.413 0.827 0.551
Rb 0.414 0.087 0.637
Rb 0.414 0.827 0.776
Rb 0.449 0.363 0.276
Rb 0.449 0.587 0.173
Rb 0.551 0.413 0.827
Rb 0.551 0.637 0.724
Rb 0.586 0.173 0.224
Rb 0.586 0.913 0.363
Rb 0.587 0.173 0.449
Rb 0.587 0.914 0.137
Rb 0.637 0.414 0.087
Rb 0.637 0.724 0.551
Rb 0.673 0.086 0.724
Rb 0.673 0.087 0.949
Rb 0.724 0.551 0.637
Rb 0.724 0.673 0.086
Rb 0.776 0.414 0.827
Rb 0.776 0.863 0.949
Rb 0.827 0.551 0.413
Rb 0.827 0.776 0.414
Rb 0.863 0.413 0.086
Rb 0.863 0.949 0.776
Rb 0.913 0.051 0.327
Rb 0.913 0.363 0.586
Rb 0.914 0.137 0.587
Rb 0.914 0.276 0.327
Rb 0.949 0.673 0.087
Rb 0.949 0.776 0.863
Se 0.125 0.250 0.375
Se 0.125 0.375 0.750
Se 0.250 0.375 0.125
Se 0.250 0.875 0.625
Se 0.375 0.125 0.250
Se 0.375 0.750 0.125
Se 0.625 0.250 0.875
Se 0.625 0.875 0.750
Se 0.750 0.125 0.375
Se 0.750 0.625 0.875
Se 0.875 0.625 0.250
Se 0.875 0.750 0.625
Cl 0.000 0.000 0.000
Cl 0.000 0.000 0.500
Cl 0.000 0.500 0.000
Cl 0.000 0.500 0.500
Cl 0.125 0.750 0.875
Cl 0.125 0.875 0.250
Cl 0.250 0.125 0.875
Cl 0.250 0.625 0.375
Cl 0.375 0.250 0.625
Cl 0.375 0.625 0.750
Cl 0.500 0.000 0.000
Cl 0.500 0.000 0.500
Cl 0.500 0.500 0.000
Cl 0.500 0.500 0.500
Cl 0.625 0.375 0.250
Cl 0.625 0.750 0.375
Cl 0.750 0.375 0.625
Cl 0.750 0.875 0.125
Cl 0.875 0.125 0.750
Cl 0.875 0.250 0.125


No. 6
RbSe2Cl after structural relaxation. Source: Alexandria, functional PBE.

## Properties
As for the crystal system: tetragonal. As for the polymorph energy (0 for the lowest one): 0.000 eV per atom.

Cell lengths 4.407, 4.407, 33.938 Å; angles 90.00, 90.00, 90.00 degrees
Fractional coordinates of all 16 atoms:
Rb 0.000 0.000 0.000
Rb 0.000 0.500 0.250
Rb 0.500 0.000 0.750
Rb 0.500 0.500 0.500
Se 0.121 0.750 0.625
Se 0.250 0.121 0.375
Se 0.250 0.379 0.875
Se 0.379 0.750 0.125
Se 0.621 0.250 0.125
Se 0.750 0.621 0.875
Se 0.750 0.879 0.375
Se 0.879 0.250 0.625
Cl 0.000 0.000 0.500
Cl 0.000 0.500 0.750
Cl 0.500 0.000 0.250
Cl 0.500 0.500 0.000


No. 7
Rb2SeCl after structural relaxation. Source: Alexandria, functional PBE.

## Properties
As for the crystal system: tetragonal. As for the polymorph energy (0 for the lowest one): 0.130 eV per atom.

Cell lengths 8.794, 8.794, 9.630 Å; angles 90.00, 90.00, 90.00 degrees
Fractional coordinates of all 16 atoms:
Rb 0.226 0.250 0.125
Rb 0.250 0.726 0.375
Rb 0.250 0.774 0.875
Rb 0.274 0.250 0.625
Rb 0.726 0.750 0.625
Rb 0.750 0.226 0.875
Rb 0.750 0.274 0.375
Rb 0.774 0.750 0.125
Se 0.000 0.000 0.500
Se 0.000 0.500 0.750
Se 0.500 0.000 0.250
Se 0.500 0.500 0.000
Cl 0.000 0.000 0.000
Cl 0.000 0.500 0.250
Cl 0.500 0.000 0.750
Cl 0.500 0.500 0.500


No. 8
Rb2SeCl6 after structural relaxation. Source: Alexandria, functional PBE.

## Properties
As for the final energy: -2.962 eV/atom. As for the crystal system: cubic.

Cell lengths 7.298, 7.298, 7.298 Å; angles 60.00, 60.00, 60.00 degrees
Fractional coordinates of all 9 atoms:
Rb 0.250 0.250 0.250
Rb 0.750 0.750 0.750
Se 0.000 0.000 0.000
Cl 0.236 0.236 0.764
Cl 0.236 0.764 0.236
Cl 0.236 0.764 0.764
Cl 0.764 0.236 0.236
Cl 0.764 0.236 0.764
Cl 0.764 0.764 0.236